Below is a geometry-optimized CdBiSb structure, with properties calculated at the PBE-GGA level.

Lattice parameters (Å, degrees): 4.6869 6.1339 6.8079 71.99 76.12 72.64
Fractional coordinates of all 6 atoms:
Cd1 0.0000 0.0000 0.0000
Cd2 0.5000 0.5000 0.0000
Bi1 0.0896 0.5811 0.6746
Bi2 0.9104 0.4189 0.3254
Sb1 0.4227 0.9380 0.3195
Sb2 0.5773 0.0620 0.6805

Results
Electronic total energy ... -2.908 eV/atom
V ... 175 Å³/cell
E above lowest polymorph ... 0.049 eV per formula unit
Formation energy (no corrections) ... 0.065 eV/atom
Spin magnetization ... 0.00 μB/f.u.

Below is a geometry-optimized Nd2TlBi structure, with properties calculated at the PBE-GGA level.

Lattice parameters (Å, degrees): 4.4006 4.4006 24.4038 90.00 90.00 120.00
Fractional coordinates of all 12 atoms:
Nd1 0.0000 0.0000 0.2459
Nd2 0.0000 0.0000 0.7541
Nd3 0.3333 0.6667 0.4207
Nd4 0.3333 0.6667 0.9126
Nd5 0.6667 0.3333 0.0874
Nd6 0.6667 0.3333 0.5793
Tl1 0.0000 0.0000 0.0000
Tl2 0.3333 0.6667 0.6667
Tl3 0.6667 0.3333 0.3333
Bi1 0.0000 0.0000 0.5000
Bi2 0.3333 0.6667 0.1667
Bi3 0.6667 0.3333 0.8333

Results
Electronic total energy ... -4.510 eV/atom
V ... 409 Å³/cell
E above lowest polymorph ... 0.300 eV per formula unit
DFT formation energy ... -564 meV/atom
Spin magnetization ... 0.00 μB/f.u.

Below is a geometry-optimized ZrNpNi17 structure, with properties calculated at the PBE-GGA level.

Lattice parameters (Å, degrees): 6.2011 6.2011 6.2011 82.81 82.81 82.81
Fractional coordinates of all 19 atoms:
Zr1 0.0000 0.0000 0.0000
Np1 0.3271 0.3271 0.3271
Ni1 0.0123 0.0123 0.5124
Ni2 0.0123 0.5124 0.0123
Ni3 0.1672 0.6635 0.6635
Ni4 0.3148 0.3148 0.8255
Ni5 0.3148 0.8255 0.3148
Ni6 0.3641 0.6666 0.9651
Ni7 0.3641 0.9651 0.6666
Ni8 0.5124 0.0123 0.0123
Ni9 0.5664 0.5664 0.5664
Ni10 0.6635 0.1672 0.6635
Ni11 0.6635 0.6635 0.1672
Ni12 0.6666 0.3641 0.9651
Ni13 0.6666 0.9651 0.3641
Ni14 0.7671 0.7671 0.7671
Ni15 0.8255 0.3148 0.3148
Ni16 0.9651 0.3641 0.6666
Ni17 0.9651 0.6666 0.3641

Results
Electronic total energy ... -6.420 eV/atom
V ... 233 Å³/cell
DFT formation energy ... -116 meV/atom
Spin magnetization ... 2.65 μB/f.u.

Below is a geometry-optimized NdHPd6 structure, with properties calculated at the PBE-GGA level.

Lattice parameters (Å, degrees): 5.8611 5.8611 5.8611 56.70 56.70 56.70
Fractional coordinates of all 8 atoms:
Nd1 0.0000 0.0000 0.0000
H1 0.5000 0.5000 0.5000
Pd1 0.0827 0.5952 0.5952
Pd2 0.4048 0.4048 0.9173
Pd3 0.4048 0.9173 0.4048
Pd4 0.5952 0.0827 0.5952
Pd5 0.5952 0.5952 0.0827
Pd6 0.9173 0.4048 0.4048

Results
Electronic total energy ... -5.186 eV/atom
V ... 132 Å³/cell
Spin magnetization ... 0.00 μB/f.u.

Below is a geometry-optimized Hg2OsWC structure, with properties calculated at the PBE-GGA level.

Lattice parameters (Å, degrees): 5.4205 5.4205 4.6340 90.00 90.00 90.00
Fractional coordinates of all 5 atoms:
Hg1 0.0000 0.5000 0.0000
Hg2 0.5000 0.0000 0.0000
Os1 0.0000 0.0000 0.5000
W1 0.0000 0.0000 0.0000
C1 0.5000 0.5000 0.5000

Results
Electronic total energy ... -3.986 eV/atom
V ... 136 Å³/cell
DFT formation energy ... 2816 meV/atom
Spin magnetization ... 1.20 μB/f.u.

Below is a geometry-optimized CsSn3O structure, with properties calculated at the PBE-GGA level.

Lattice parameters (Å, degrees): 6.3074 6.3074 6.3074 90.00 90.00 90.00
Fractional coordinates of all 5 atoms:
Cs1 0.0000 0.0000 0.0000
Sn1 0.0000 0.0000 0.5000
Sn2 0.0000 0.5000 0.0000
Sn3 0.5000 0.0000 0.0000
O1 0.5000 0.5000 0.5000

Results
Electronic total energy ... -1.676 eV/atom
V ... 251 Å³/cell
E above lowest polymorph ... 9.726 eV per formula unit
Formation energy (no corrections) ... 1.888 eV/atom
Spin magnetization ... 0.04 μB/f.u.

Below is a geometry-optimized CeTh3Tl4 structure, with properties calculated at the PBE-GGA level.

Lattice parameters (Å, degrees): 3.3425 5.9490 11.8745 90.00 90.00 90.00
Fractional coordinates of all 8 atoms:
Ce1 0.0000 0.0000 0.0000
Th1 0.0000 0.0000 0.5000
Th2 0.0000 0.5000 0.2503
Th3 0.0000 0.5000 0.7497
Tl1 0.5000 0.0000 0.2480
Tl2 0.5000 0.0000 0.7520
Tl3 0.5000 0.5000 0.0000
Tl4 0.5000 0.5000 0.5000

Results
Electronic total energy ... -4.843 eV/atom
V ... 236 Å³/cell
DFT formation energy ... -136 meV/atom
Spin magnetization ... 1.33 μB/f.u.

Below is a geometry-optimized TaCr2Co structure, with properties calculated at the PBE-GGA level.

Lattice parameters (Å, degrees): 3.5610 3.5610 8.3074 90.00 90.00 90.00
Fractional coordinates of all 8 atoms:
Ta1 0.0000 0.0000 0.0000
Ta2 0.5000 0.5000 0.5000
Cr1 0.0000 0.5000 0.2500
Cr2 0.0000 0.5000 0.7500
Cr3 0.5000 0.0000 0.2500
Cr4 0.5000 0.0000 0.7500
Co1 0.0000 0.0000 0.5000
Co2 0.5000 0.5000 0.0000

Results
Electronic total energy ... -9.361 eV/atom
V ... 105 Å³/cell
E above lowest polymorph ... 0.728 eV per formula unit
DFT formation energy ... 191 meV/atom
Spin magnetization ... 0.28 μB/f.u.

Below is a geometry-optimized NaAlSi3 structure, with properties calculated at the PBE-GGA level.

Lattice parameters (Å, degrees): 4.9204 4.9204 4.9204 90.00 90.00 90.00
Fractional coordinates of all 5 atoms:
Na1 0.0000 0.0000 0.0000
Al1 0.5000 0.5000 0.5000
Si1 0.0000 0.0000 0.5000
Si2 0.0000 0.5000 0.0000
Si3 0.5000 0.0000 0.0000

Results
Electronic total energy ... -2.757 eV/atom
V ... 119 Å³/cell
E above lowest polymorph ... 4.037 eV per formula unit
Formation energy (no corrections) ... 1.510 eV/atom
Spin magnetization ... 0.00 μB/f.u.

Below is a geometry-optimized Be2Co structure, with properties calculated at the PBE-GGA level.

Lattice parameters (Å, degrees): 2.4171 11.8401 3.7982 90.00 90.00 90.00
Fractional coordinates of all 12 atoms:
Be1 0.0000 0.0609 0.2500
Be2 0.0000 0.3889 0.2500
Be3 0.0000 0.6111 0.7500
Be4 0.0000 0.9391 0.7500
Be5 0.5000 0.1111 0.7500
Be6 0.5000 0.4391 0.7500
Be7 0.5000 0.5609 0.2500
Be8 0.5000 0.8889 0.2500
Co1 0.0000 0.2815 0.7500
Co2 0.0000 0.7185 0.2500
Co3 0.5000 0.2185 0.2500
Co4 0.5000 0.7815 0.7500

Results
Electronic total energy ... -4.885 eV/atom
V ... 109 Å³/cell
DFT formation energy ... -33 meV/atom
Spin magnetization ... 0.75 μB/f.u.

Below is a geometry-optimized RbMgTl4In2 structure, with properties calculated at the PBE-GGA level.

Lattice parameters (Å, degrees): 10.9801 10.9801 10.9801 27.95 27.95 27.95
Fractional coordinates of all 8 atoms:
Rb1 0.0000 0.0000 0.0000
Mg1 0.5000 0.5000 0.5000
Tl1 0.1329 0.1329 0.1329
Tl2 0.4006 0.4006 0.4006
Tl3 0.5994 0.5994 0.5994
Tl4 0.8671 0.8671 0.8671
In1 0.2377 0.2377 0.2377
In2 0.7623 0.7623 0.7623

Results
Electronic total energy ... -2.231 eV/atom
V ... 257 Å³/cell
DFT formation energy ... -43 meV/atom
Spin magnetization ... 0.00 μB/f.u.

Below is a geometry-optimized Ac2TlC structure, with properties calculated at the PBE-GGA level.

Lattice parameters (Å, degrees): 3.8562 3.8562 30.5979 90.00 90.00 120.00
Fractional coordinates of all 12 atoms:
Ac1 0.0000 0.0000 0.1166
Ac2 0.0000 0.0000 0.8834
Ac3 0.3333 0.6667 0.5501
Ac4 0.3333 0.6667 0.7832
Ac5 0.6667 0.3333 0.2168
Ac6 0.6667 0.3333 0.4499
Tl1 0.0000 0.0000 0.0000
Tl2 0.3333 0.6667 0.6667
Tl3 0.6667 0.3333 0.3333
C1 0.0000 0.0000 0.5000
C2 0.3333 0.6667 0.1667
C3 0.6667 0.3333 0.8333

Results
Electronic total energy ... -4.861 eV/atom
V ... 394 Å³/cell
DFT formation energy ... 90 meV/atom
Spin magnetization ... 0.00 μB/f.u.